A geometry-optimized MnBeGe structure. Source: Alexandria via LeMat-Bulk, functional PBE.

Geometry as POSCAR:
```
MnBeGe
1.0
-0.031 0.670 -2.829
-5.848 -5.796 -1.307
-4.020 3.841 0.954
Ge Mn Be
4 4 4
Direct
0.500 0.662 0.991
0.500 0.338 0.491
0.000 0.838 0.491
0.000 0.162 0.991
0.500 0.059 0.301
0.500 0.941 0.801
0.000 0.559 0.301
0.000 0.441 0.801
0.000 0.877 0.096
0.500 0.377 0.096
0.500 0.623 0.596
0.000 0.123 0.596
```

As for the formation energy: -0.033 eV/atom.